# 1
First-principles (PBE) data for a relaxed DyMgNiRu crystal, as listed in the Alexandria database.

a = 4.5918 Å, b = 4.5918 Å, c = 4.5918 Å
α = 60.00°, β = 60.00°, γ = 60.00°
With the nearest neighbours (Å) after each atom.
Positions (direct):
Ru: 0.0000 0.0000 0.0000  4 Dy 2.81, 4 Mg 2.81
Mg: 0.2500 0.2500 0.2500  4 Ni 2.81, 4 Ru 2.81
Ni: 0.5000 0.5000 0.5000  4 Mg 2.81, 4 Dy 2.81
Dy: 0.7500 0.7500 0.7500  4 Ru 2.81, 4 Ni 2.81

Summary:
ΔE_f in kJ/mol of formula units: -74
DOS at the Fermi energy in states/eV/cell: 2.5



# 2
First-principles (PBE) data for a relaxed DyMgScNi crystal, as listed in the Alexandria database.

a = 3.3374 Å, b = 3.3374 Å, c = 7.6994 Å
α = 90.00°, β = 90.00°, γ = 90.00°
With the nearest neighbours (Å) after each atom.
Positions (direct):
Dy: 0.5000 0.5000 0.7753  4 Ni 2.94, 1 Sc 3.11
Mg: 0.0000 0.0000 0.0909  4 Sc 3.20, 4 Mg 3.34, 4 Dy 3.39, 1 Ni 3.51
Sc: 0.5000 0.5000 0.3716  4 Ni 2.72
Ni: 0.0000 0.0000 0.5469  4 Sc 2.72, 4 Dy 2.94

Summary:
ΔE_f in kJ/mol of formula units: -100
DOS at the Fermi energy in states/eV/cell: 2.9
Distance to the lowest polymorph of the same formula in meV per atom: 0



Among the records above, which one has the highest ΔE_f?
DyMgNiRu